Entry 1:
This record from Alexandria describes crystalline LiEr4Zn at its relaxed geometry. The functional is GGA-PBE.

a b c (Å): 4.9217 4.9215 7.1486
angles (deg): 90.00 90.00 90.00
With the nearest neighbours (Å) after each atom.
Atoms (fractional coordinates):
Li  0.5012  0.4974  0.9982  8 Er 3.10
Er  0.5013  0.9972  0.2613  2 Zn 2.99, 2 Li 3.10
Er  0.5014  0.9974  0.7350  2 Zn 2.99, 2 Li 3.10
Er  0.0013  0.4974  0.7350  2 Zn 2.99, 2 Li 3.10
Er  0.0013  0.4971  0.2613  2 Zn 2.99, 2 Li 3.10
Zn  0.0013  0.9973  0.4980  8 Er 2.99

Properties
Space group ... P4/mmm (123)
Total moment ... 0.0 μB per cell
DFT formation energy ... 147 kJ/mol of formula units
Density ... 7.11 g/cm³

=====

Entry 2:
This record from Alexandria describes crystalline LiYHo at its relaxed geometry. The functional is GGA-PBE.

a b c (Å): 3.6317 3.6317 6.7958
angles (deg): 105.50 105.50 90.00
With the nearest neighbours (Å) after each atom.
Atoms (fractional coordinates):
Y  0.0122  0.0122  0.0244  4 Li 3.23, 4 Ho 3.53
Ho  0.3202  0.3202  0.6404  4 Li 3.21, 4 Y 3.53
Li  0.6676  0.6676  0.3352  4 Ho 3.21, 4 Y 3.23

Properties
Space group ... I4mm (107)
Total moment ... 0.0 μB per cell
Energy above the most stable polymorph in this dataset ... 0 meV/atom
DFT formation energy ... 25 kJ/mol of formula units
Density ... 5.22 g/cm³

=====

Entry 3:
This record from Alexandria describes crystalline KCaNi2 at its relaxed geometry. The functional is GGA-PBE.

a b c (Å): 9.4870 9.4870 9.4870
angles (deg): 20.25 20.25 20.25
With the nearest neighbours (Å) after each atom.
Atoms (fractional coordinates):
Ca  0.2500  0.2500  0.2500  6 Ni 2.83
K  0.7500  0.7500  0.7500  6 Ni 3.21, 6 K 3.34
Ni  0.9911  0.9911  0.9911  3 Ca 2.83
Ni  0.5089  0.5089  0.5089  3 Ca 2.83

Properties
Space group ... R-3m (166)
Total moment ... 0.3 μB per cell
Energy above the most stable polymorph in this dataset ... 567 meV/atom
DFT formation energy ... 266 kJ/mol of formula units
Density ... 3.65 g/cm³

=====

Entry 4:
This record from Alexandria describes crystalline Te2OsAu at its relaxed geometry. The functional is GGA-PBE.

a b c (Å): 4.9094 4.9094 4.9094
angles (deg): 60.00 60.00 60.00
With the nearest neighbours (Å) after each atom.
Atoms (fractional coordinates):
Au  0.5000  0.5000  0.5000  4 Os 3.01, 4 Te 3.01
Os  0.2500  0.2500  0.2500  4 Au 3.01, 4 Te 3.01
Te  0.0000  0.0000  0.0000  4 Te 3.01, 4 Os 3.01
Te  0.7500  0.7500  0.7500  4 Au 3.01, 4 Te 3.01

Properties
Space group ... F-43m (216)
Total moment ... 0.3 μB per cell
Raw formation energy ... 1.07 eV/atom
Energy above the most stable polymorph in this dataset ... 889 meV/atom
Density ... 12.75 g/cm³

=====

Entry 5:
This record from Alexandria describes crystalline RbTmCr2Br8 at its relaxed geometry. The functional is GGA-PBE.

a b c (Å): 7.1035 7.2484 9.8569
angles (deg): 65.89 69.45 67.45
With the nearest neighbours (Å) after each atom.
Atoms (fractional coordinates):
Rb  0.0000  0.0000  0.5000  4 Br 3.44-3.54
Tm  0.0000  0.0000  0.0000  6 Br 2.76-2.80
Cr  0.4277  0.4739  0.7088  4 Br 2.52-2.55
Cr  0.5723  0.5261  0.2912  4 Br 2.52-2.55
Br  0.1542  0.7164  0.2527  1 Tm 2.76, 1 Cr 2.84
Br  0.7461  0.7574  0.0446  1 Cr 2.53, 1 Tm 2.79
Br  0.6745  0.2322  0.1780  1 Cr 2.55, 1 Tm 2.80
Br  0.8458  0.2836  0.7472  1 Tm 2.76, 1 Cr 2.84
Br  0.2539  0.2426  0.9554  1 Cr 2.53, 1 Tm 2.79
Br  0.3255  0.7678  0.8220  1 Cr 2.55, 1 Tm 2.80
Br  0.5423  0.7362  0.4521  2 Cr 2.52-2.55
Br  0.4577  0.2638  0.5479  2 Cr 2.52-2.55

Properties
Space group ... P-1 (2)
Total moment ... 8.0 μB per cell
Raw formation energy ... -1.17 eV/atom
Density ... 3.98 g/cm³

=====

Entry 6:
This record from Alexandria describes crystalline ScMoRh2 at its relaxed geometry. The functional is GGA-PBE.

a b c (Å): 3.2436 3.2436 6.1861
angles (deg): 90.00 90.00 90.00
With the nearest neighbours (Å) after each atom.
Atoms (fractional coordinates):
Mo  0.5000  0.5000  0.7854  4 Rh 2.58
Rh  0.0000  0.0000  0.9772  4 Mo 2.58, 4 Rh 2.88
Rh  0.5000  0.5000  0.2578  4 Sc 2.67, 4 Rh 2.88, 1 Mo 2.92
Sc  0.0000  0.0000  0.4796  4 Rh 2.67, 4 Mo 2.97

Properties
Space group ... P4mm (99)
Total moment ... 0.0 μB per cell
DFT formation energy ... -89 kJ/mol of formula units
Density ... 8.85 g/cm³

=====

Entry 7:
This record from Alexandria describes crystalline Nd3Cd2Au at its relaxed geometry. The functional is GGA-PBE.

a b c (Å): 5.3719 5.3719 6.6141
angles (deg): 90.00 90.00 120.00
With the nearest neighbours (Å) after each atom.
Atoms (fractional coordinates):
Nd  0.0000  0.0000  0.5000  6 Cd 3.24, 2 Au 3.31
Nd  0.6667  0.3333  0.8516  3 Au 3.25, 5 Cd 3.28-3.39
Nd  0.3333  0.6667  0.1484  3 Au 3.25, 5 Cd 3.28-3.39
Cd  0.6667  0.3333  0.3563  8 Nd 3.24-3.39
Cd  0.3333  0.6667  0.6437  8 Nd 3.24-3.39
Au  0.0000  0.0000  0.0000  8 Nd 3.25-3.31

Properties
Space group ... P-3m1 (164)
Total moment ... 0.4 μB per cell
Energy above the most stable polymorph in this dataset ... 15 meV/atom
DFT formation energy ... -262 kJ/mol of formula units
Density ... 8.58 g/cm³

=====

Entry 8:
This record from Alexandria describes crystalline Zr2MnRu at its relaxed geometry. The functional is GGA-PBE.

a b c (Å): 5.5666 5.5666 5.5666
angles (deg): 145.56 133.25 59.34
With the nearest neighbours (Å) after each atom.
Atoms (fractional coordinates):
Mn  0.4891  0.4891  0.0000  6 Zr 2.76-2.98, 2 Ru 2.81
Ru  0.2539  0.7539  0.5000  6 Zr 2.76-2.87, 2 Mn 2.81
Zr  0.0114  0.0114  0.0000  4 Mn 2.76, 2 Ru 2.87, 2 Zr 3.05
Zr  0.7456  0.2456  0.5000  4 Ru 2.76, 2 Mn 2.98, 2 Zr 3.05

Properties
Space group ... Imm2 (44)
Total moment ... 1.7 μB per cell
DFT formation energy ... -66 kJ/mol of formula units
Density ... 7.98 g/cm³

=====

Entry 9:
This record from Alexandria describes crystalline BaFeAgTe2 at its relaxed geometry. The functional is GGA-PBE.

a b c (Å): 5.4849 5.9850 5.4849
angles (deg): 90.00 90.00 90.00
With the nearest neighbours (Å) after each atom.
Atoms (fractional coordinates):
Te  0.0000  0.0000  0.5000  2 Ag 2.74
Te  0.5000  0.0000  0.0000  2 Ag 2.74
Ba  0.0000  0.5000  0.0000  2 Ag 2.99
Ag  0.0000  0.0000  0.0000  4 Te 2.74, 2 Ba 2.99
Fe  0.5000  0.5000  0.5000  4 Ba 3.88, 8 Te 4.06

Properties
Space group ... P4/mmm (123)
Total moment ... 3.8 μB per cell
Raw formation energy ... 0.44 eV/atom
Density ... 5.13 g/cm³

=====

Entry 10:
This record from Alexandria describes crystalline AcUTc2 at its relaxed geometry. The functional is GGA-PBE.

a b c (Å): 3.4310 3.4310 9.0925
angles (deg): 79.12 79.12 60.00
With the nearest neighbours (Å) after each atom.
Atoms (fractional coordinates):
Ac  0.5000  0.5000  0.5000  6 Tc 3.37, 6 Ac 3.43
U  0.0000  0.0000  0.0000  6 Tc 2.62
Tc  0.7308  0.7308  0.8076  3 U 2.62
Tc  0.2692  0.2692  0.1924  3 U 2.62

Properties
Space group ... R-3m (166)
Total moment ... 0.0 μB per cell
Energy above the most stable polymorph in this dataset ... 181 meV/atom
DFT formation energy ... 103 kJ/mol of formula units
Density ... 12.13 g/cm³